{
  "formula": "AcPmZnRu",
  "functional": "PBE",
  "state": "relaxed",
  "lattice_angstrom": [[4.237, 0.000, 0.000], [0.000, 4.498, 0.000], [-2.118, 0.000, 5.446]],
  "species": ["Ac", "Zn", "Pm", "Ru"],
  "frac_coords": [[0.146, 0.000, 0.293], [0.562, 0.500, 0.123], [0.864, 0.500, 0.728], [0.428, 0.000, 0.856]],
  "formation_enthalpy_0k_kj_per_mol_atoms": -18,
  "total_magnetization_mub_per_fu": 0.00
}